[1]
Sm4Dy3ThSe8, relaxed, DFT PBE; magnetization = 0.0 μB per formula unit; raw total energy = -5.996 eV per atom; space group = R-3m (166)
1.0
-5.733 -2.113 -5.596
5.387 -5.199 -3.556
-1.670 -0.654 8.091
Sm Dy Th Se
4 3 1 8
direct
0.500 0.000 0.000
0.500 0.000 0.500
0.000 0.000 0.000
0.000 0.000 0.500
0.500 0.500 0.000
0.500 0.500 0.500
0.000 0.500 0.500
0.000 0.500 0.000
0.251 0.745 0.994
0.251 0.745 0.503
0.253 0.260 0.506
0.742 0.745 0.994
0.258 0.255 0.006
0.747 0.740 0.494
0.749 0.255 0.497
0.749 0.255 0.006


[2]
SiSbTe2, relaxed, DFT PBE; magnetization = 0.0 μB per formula unit; raw total energy = -3.662 eV per atom; E above lowest polymorph = 172 meV per atom; space group = P4mm (99)
1.0
-0.034 -1.490 -3.226
-2.896 -1.857 0.888
-4.920 6.304 -2.860
Sb Si Te
1 1 2
direct
0.000 0.000 0.531
0.500 0.500 0.754
0.000 0.000 0.918
0.500 0.500 0.296


[3]
ScRe2Ni, relaxed, DFT PBE; magnetization = 0.0 μB per formula unit; formation energy = -0.009 eV/atom; raw total energy = -9.261 eV per atom; E above lowest polymorph = 69 meV per atom; space group = C2/m (12)
1.0
5.345 0.010 0.010
4.614 2.698 0.010
1.269 0.345 4.276
Ni Re Sc
1 2 1
direct
0.250 0.250 0.250
0.968 0.968 0.029
0.532 0.532 0.471
0.750 0.750 0.750


[4]
GdScCo4, relaxed, DFT PBE; magnetization = 3.2 μB per formula unit; formation energy = -0.248 eV/atom; raw total energy = -8.387 eV per atom; space group = F-43m (216)
1.0
4.995 0.000 0.000
2.497 4.326 0.000
2.497 1.442 4.078
Sc Gd Co
1 1 4
direct
0.000 0.000 0.000
0.250 0.250 0.250
0.626 0.626 0.123
0.626 0.123 0.626
0.626 0.626 0.626
0.123 0.626 0.626


[5]
Sc5GaAg, relaxed, DFT PBE; magnetization = 0.0 μB per formula unit; formation energy = -0.113 eV/atom; raw total energy = -5.475 eV per atom; space group = C2/c (15)
1.0
5.629 -0.921 -0.992
0.913 5.630 -0.992
1.543 1.111 9.310
Sc Ga Ag
10 2 2
direct
0.029 0.613 0.179
0.245 0.449 0.496
0.613 0.029 0.679
0.846 0.154 0.250
0.551 0.755 0.004
0.449 0.245 0.996
0.154 0.846 0.750
0.387 0.971 0.321
0.755 0.551 0.504
0.971 0.387 0.821
0.503 0.497 0.250
0.497 0.503 0.750
0.000 0.000 0.000
0.000 0.000 0.500


[6]
Ho2SnRh6, relaxed, DFT PBE; magnetization = 0.0 μB per formula unit; formation energy = -0.254 eV/atom; raw total energy = -6.617 eV per atom; space group = Immm (71)
1.0
3.061 0.000 -0.123
0.000 8.023 0.000
-1.254 -4.011 6.797
Ho Sn Rh
2 1 6
direct
0.658 0.659 0.318
0.342 0.341 0.682
0.000 0.000 0.000
0.169 0.375 0.339
0.831 0.036 0.661
0.831 0.625 0.661
0.500 0.271 0.000
0.169 0.964 0.339
0.500 0.729 0.000